Record 1
Density functional theory data (GGA-PBE) for an optimized crystal structure of BaGe2B.

The space group is I4_1/amd (No. 141, origin choice 2) and the conventional cell measures 5.1165, 5.1165 and 14.8764 Å, with angles of 90.00, 90.00 and 90.00 degrees. Symmetry generates all atoms from Ba at (0.0000, 0.2500, 0.3750), Ge at (0.0000, 0.0000, 0.0000) and B at (0.0000, 0.2500, 0.8750).

The total energy comes out at -4.287 eV per atom. The value obtained for the formation enthalpy at 0 K is 0.17 eV/atom. The crystal system is tetragonal.



Record 2
Density functional theory data (GGA-PBE) for an optimized crystal structure of Ho2ErBi.

The space group is R-3m (No. 166, hexagonal axes) and the conventional cell measures 3.5182, 3.5182 and 35.8061 Å, with angles of 90.00, 90.00 and 120.00 degrees. Symmetry generates all atoms from Ho at (0.0000, 0.0000, 0.0880), Er at (0.0000, 0.0000, 0.5000) and Bi at (0.0000, 0.0000, 0.0000).

The total energy comes out at -4.374 eV per atom. The value obtained for the formation enthalpy at 0 K is 0.03 eV/atom. Its energy above the most stable polymorph in this dataset is 0.419 eV per atom. The crystal system is trigonal.



In the order shown, the computed ρ values come out to 5.004 9.165 g cm⁻³.